# 1
First-principles (PBE) data for an optimized crystal structure of K3ZrTi2O8, as listed in the Alexandria database.

Lattice parameters (Å, degrees): 5.957 5.957 7.702 90.00 90.00 120.00
Each line ends with the local moment (μB).
Element x y z (fractional)
Zr 0.000 0.000 0.500  -0.02
O 0.668 0.834 0.337  0.07
O 0.667 0.333 0.979  0.27
O 0.166 0.332 0.337  0.07
O 0.333 0.667 0.021  0.27
O 0.834 0.668 0.663  0.07
O 0.332 0.166 0.663  0.07
O 0.834 0.166 0.663  0.07
O 0.166 0.834 0.337  0.07
K 0.333 0.667 0.687  0.00
K 0.000 0.000 0.000  0.00
K 0.667 0.333 0.313  0.00
Ti 0.333 0.667 0.252  -0.05
Ti 0.667 0.333 0.748  -0.05

Summary:
Formation energy without anion corrections, kJ/mol of atoms: -246.43



# 2
First-principles (PBE) data for an optimized crystal structure of MgFe2Cl, as listed in the Alexandria database.

Lattice parameters (Å, degrees): 6.057 6.057 6.057 151.68 135.12 53.92
Each line ends with the local moment (μB).
Element x y z (fractional)
Cl 0.190 0.690 0.500  0.06
Fe 0.008 0.008 0.000  2.45
Fe 0.839 0.339 0.500  2.81
Mg 0.463 0.463 0.000  -0.04

Summary:
Formation energy without anion corrections, kJ/mol of atoms: 26.44



# 3
First-principles (PBE) data for an optimized crystal structure of CdFeAu2, as listed in the Alexandria database.

Lattice parameters (Å, degrees): 2.905 2.905 8.163 90.00 90.00 90.00
Each line ends with the local moment (μB).
Element x y z (fractional)
Au 0.000 0.000 0.977  0.04
Au 0.500 0.500 0.247  -0.01
Fe 0.500 0.500 0.758  2.79
Cd 0.000 0.000 0.518  -0.04

Summary:
ΔH_f (0 K), eV/atom: 0.093